VASP calculation (PBE) on crystalline CdRe2I at its relaxed geometry.

Calculated volume = 281.83 Å³/cell
ΔE to the lowest computed polymorph = 22.8 meV/atom
Calculated density = 14.417 g/cm3
D(E_F) = 0.912 states/eV per atom
Final energy = -5.385 eV per atom

Geometry as CIF:
```
data_CdRe2I
_chemical_formula_sum 'Cd4 Re8 I4'
_space_group_name_H-M_alt 'F m -3 m'
_space_group_IT_number 225
_space_group_name_Hall '-F 4 2 3'
_cell_length_a 6.5563
_cell_length_b 6.5563
_cell_length_c 6.5563
_cell_angle_alpha 90.00
_cell_angle_beta 90.00
_cell_angle_gamma 90.00
loop_
_atom_site_label
_atom_site_fract_x
_atom_site_fract_y
_atom_site_fract_z
Cd1 0.0000 0.0000 0.0000
Re1 0.2500 0.2500 0.2500
I1 0.0000 0.0000 0.5000
```

---

VASP calculation (PBE) on crystalline YOs2Br at its relaxed geometry.

Calculated volume = 153.78 Å³/cell
ΔE to the lowest computed polymorph = 425.9 meV/atom
Calculated density = 11.862 g/cm3
D(E_F) = 0.824 states/eV per atom
Final energy = -7.286 eV per atom

Geometry as CIF:
```
data_YOs2Br
_chemical_formula_sum 'Y2 Os4 Br2'
_space_group_name_H-M_alt 'C 1 2/m 1'
_space_group_IT_number 12
_cell_length_a 10.9625
_cell_length_b 3.0981
_cell_length_c 4.5345
_cell_angle_alpha 90.00
_cell_angle_beta 93.14
_cell_angle_gamma 90.00
loop_
_space_group_symop_operation_xyz
'x,y,z'
'-x,-y,-z'
'-x,y,-z'
'x,-y,z'
'x+1/2,y+1/2,z'
'-x+1/2,-y+1/2,-z'
'-x+1/2,y+1/2,-z'
'x+1/2,-y+1/2,z'
loop_
_atom_site_label
_atom_site_fract_x
_atom_site_fract_y
_atom_site_fract_z
Y1 0.0000 0.0000 0.0000
Os1 0.2212 0.5000 0.2135
Br1 0.0000 0.5000 0.5000
```